Version A
Below is a geometry-optimized TlCoO structure, with properties calculated at the PBE with a Hubbard U level.

abc: 4.632 5.401 5.206
angles: 90.00 103.27 90.00
Last column: magnetic moment on the atom in μB.
Sites, in units of the cell vectors:
O (0.209, 0.500, 0.188)  0.10
O (0.155, 0.000, 0.638)  0.10
Co (0.182, 0.250, 0.413)  2.02
Co (0.182, 0.750, 0.413)  2.02
Tl (0.545, 0.000, 0.079)  -0.04
Tl (0.818, 0.500, 0.747)  -0.04

Summary:
* density of states at the Fermi level: 0.097 states/eV per atom
* total magnetization: 4.00 Bohr magnetons per cell

Version B
Below is a geometry-optimized TlCoO structure, with properties calculated at the PBE with a Hubbard U level.

abc: 3.008 6.060 12.257
angles: 90.00 90.60 90.00
Last column: magnetic moment on the atom in μB.
Sites, in units of the cell vectors:
Tl (0.997, 0.000, 0.289)  -0.03
Tl (0.003, 0.500, 0.211)  -0.03
Tl (0.003, 0.000, 0.711)  -0.03
Tl (0.997, 0.500, 0.789)  -0.03
Co (0.000, 0.500, 0.500)  1.15
Co (0.500, 0.000, 0.500)  2.08
Co (0.000, 0.000, 0.000)  1.15
Co (0.500, 0.500, 0.000)  2.08
O (0.500, 0.203, 0.000)  0.04
O (0.500, 0.797, 0.000)  0.04
O (0.500, 0.703, 0.500)  0.04
O (0.500, 0.297, 0.500)  0.04

Summary:
* density of states at the Fermi level: 0.107 states/eV per atom
* total magnetization: 6.38 Bohr magnetons per cell

Version C
Below is a geometry-optimized TlCoO structure, with properties calculated at the PBE with a Hubbard U level.

abc: 3.524 6.214 6.254
angles: 110.89 93.11 104.38
Last column: magnetic moment on the atom in μB.
Sites, in units of the cell vectors:
Co (0.389, 0.884, 0.809)  2.20
Co (0.647, 0.472, 0.804)  2.57
O (0.588, 0.206, 0.897)  0.12
O (0.194, 0.570, 0.773)  0.15
Tl (0.149, 0.313, 0.229)  0.00
Tl (0.819, 0.865, 0.398)  -0.02

Summary:
* density of states at the Fermi level: 0.351 states/eV per atom
* total magnetization: 5.01 Bohr magnetons per cell

Energies, relative to the best one, in eV/atom: version A 0.000; version B 0.094; version C 0.031.

Version A
Below is a geometry-optimized TlCoO structure, with properties calculated at the PBE with a Hubbard U level.

abc: 3.591 4.049 4.780
angles: 90.01 119.42 90.07
Last column: magnetic moment on the atom in μB.
Sites, in units of the cell vectors:
Co (0.500, 0.000, 0.500)  2.08
O (0.000, 0.000, 0.500)  0.10
Tl (0.500, 0.500, 0.000)  -0.04

Summary:
* density of states at the Fermi level: 0.096 states/eV per atom
* total magnetization: 2.05 Bohr magnetons per cell

Version B
Below is a geometry-optimized TlCoO structure, with properties calculated at the PBE with a Hubbard U level.

abc: 3.436 3.252 4.680
angles: 90.00 90.03 90.00
Last column: magnetic moment on the atom in μB.
Sites, in units of the cell vectors:
Co (0.425, 0.000, 0.516)  2.43
O (0.425, 0.500, 0.736)  0.12
Tl (0.925, 0.500, 0.123)  0.01

Summary:
* density of states at the Fermi level: 0.309 states/eV per atom
* total magnetization: 2.56 Bohr magnetons per cell

Version C
Below is a geometry-optimized TlCoO structure, with properties calculated at the PBE with a Hubbard U level.

abc: 3.571 5.938 6.441
angles: 90.00 116.63 90.00
Last column: magnetic moment on the atom in μB.
Sites, in units of the cell vectors:
Co (0.500, 0.500, 0.000)  2.09
Co (0.500, 0.000, 0.500)  2.09
Tl (0.500, 0.000, 0.000)  -0.04
Tl (0.500, 0.500, 0.500)  -0.04
O (0.000, 0.000, 0.500)  0.10
O (0.000, 0.500, 0.000)  0.10

Summary:
* density of states at the Fermi level: 0.103 states/eV per atom
* total magnetization: 4.16 Bohr magnetons per cell

Energies, relative to the best one, in eV/atom: version A 0.000; version B 0.157; version C 0.014.

Version A
Below is a geometry-optimized TlCo2O structure, with properties calculated at the PBE with a Hubbard U level.

abc: 4.370 4.370 4.370
angles: 60.00 60.00 60.00
Last column: magnetic moment on the atom in μB.
Sites, in units of the cell vectors:
Tl (0.500, 0.500, 0.500)  -0.16
Co (0.250, 0.250, 0.250)  2.15
Co (0.750, 0.750, 0.750)  2.15
O (0.000, 0.000, 0.000)  0.03

Summary:
* density of states at the Fermi level: 1.586 states/eV per atom
* total magnetization: 4.04 Bohr magnetons per cell

Version B
Below is a geometry-optimized TlCo2O structure, with properties calculated at the PBE with a Hubbard U level.

abc: 5.184 5.184 6.532
angles: 66.62 66.62 90.00
Last column: magnetic moment on the atom in μB.
Sites, in units of the cell vectors:
O (0.500, 0.500, 0.000)  0.03
O (0.250, 0.750, 0.500)  0.03
Co (0.875, 0.625, 0.750)  2.01
Co (0.375, 0.125, 0.250)  2.02
Co (0.375, 0.625, 0.250)  2.02
Co (0.375, 0.625, 0.750)  2.01
Tl (0.000, 0.000, 0.000)  -0.07
Tl (0.750, 0.250, 0.500)  -0.07

Summary:
* density of states at the Fermi level: 0.560 states/eV per atom
* total magnetization: 7.47 Bohr magnetons per cell

Energies, relative to the best one, in eV/atom: version A 0.793; version B 0.000.

Version A
Below is a geometry-optimized TlCo3O structure, with properties calculated at the PBE with a Hubbard U level.

abc: 5.007 5.007 5.007
angles: 90.00 90.00 90.00
Last column: magnetic moment on the atom in μB.
Sites, in units of the cell vectors:
Co (0.000, 0.500, 0.000)  2.09
Co (0.500, 0.000, 0.000)  2.21
Co (0.000, 0.000, 0.500)  2.02
Tl (0.000, 0.000, 0.000)  -0.02
O (0.500, 0.500, 0.500)  0.20

Summary:
* density of states at the Fermi level: 1.136 states/eV per atom
* total magnetization: 6.74 Bohr magnetons per cell

Version B
Below is a geometry-optimized TlCo3O structure, with properties calculated at the PBE with a Hubbard U level.

abc: 4.051 4.051 4.051
angles: 90.00 90.00 90.00
Last column: magnetic moment on the atom in μB.
Sites, in units of the cell vectors:
Co (0.000, 0.500, 0.000)  1.98
Co (0.000, 0.000, 0.500)  1.74
Co (0.500, 0.000, 0.000)  2.21
Tl (0.500, 0.500, 0.500)  -0.04
O (0.000, 0.000, 0.000)  0.15

Summary:
* density of states at the Fermi level: 0.389 states/eV per atom
* total magnetization: 5.78 Bohr magnetons per cell

Energies, relative to the best one, in eV/atom: version A 1.496; version B 0.000.